The following is a PBE calculation of a relaxed NaLi2O crystal, from Alexandria via LeMat-Bulk.

Calculated values
Density of states at the Fermi level ... 0.057 states/eV/atom
Raw formation energy ... -1.0834 eV/atom

abc: 6.002 6.002 5.987
angles: 59.92 59.92 90.00
Positions (direct):
Na 0.000 0.000 0.000
Na 0.750 0.250 0.500
O 0.500 0.500 0.000
O 0.250 0.750 0.500
Li 0.374 0.125 0.250
Li 0.376 0.625 0.250
Li 0.375 0.626 0.750
Li 0.875 0.624 0.750

The following is a PBE calculation of a relaxed Na2LiO4 crystal, from Alexandria via LeMat-Bulk.

Calculated values
Density of states at the Fermi level ... 0.113 states/eV/atom
Raw formation energy ... -1.0118 eV/atom

abc: 6.350 6.204 5.668
angles: 94.62 68.79 61.05
Each line ends with the local moment (μB).
Positions (direct):
Na 0.514 0.471 0.449  0.00
Na 0.913 0.280 0.802  0.00
Na 0.213 0.374 0.128  0.00
Na 0.711 0.879 0.621  0.00
Li 0.421 0.867 0.180  -0.01
Li 0.010 0.881 0.068  -0.01
O 0.657 0.125 0.058  0.22
O 0.772 0.623 0.194  0.22
O 0.274 0.984 0.892  0.21
O 0.480 0.138 0.313  0.22
O 0.442 0.707 0.838  0.21
O 0.154 0.767 0.358  0.21
O 0.950 0.610 0.939  0.22
O 0.987 0.044 0.411  0.21

The following is a PBE calculation of a relaxed NaLi2O crystal, from Alexandria via LeMat-Bulk.

Calculated values
Density of states at the Fermi level ... 0.146 states/eV/atom
Raw formation energy ... -1.1601 eV/atom

abc: 3.233 3.233 7.389
angles: 77.36 77.36 60.00
Positions (direct):
Na 0.509 0.509 0.472
Li 0.028 0.028 0.915
Li 0.300 0.300 0.099
O 0.662 0.662 0.014

The following is a PBE calculation of a relaxed NaLiO3 crystal, from Alexandria via LeMat-Bulk.

Calculated values
Density of states at the Fermi level ... 0.639 states/eV/atom
Raw formation energy ... -0.2928 eV/atom

abc: 3.701 3.701 3.701
angles: 90.00 90.00 90.00
Each line ends with the local moment (μB).
Positions (direct):
Na 0.500 0.500 0.500  -0.01
O 0.000 0.500 0.000  1.24
O 0.000 0.000 0.500  1.01
O 0.500 0.000 0.000  1.16
Li 0.000 0.000 0.000  0.00

The following is a PBE calculation of a relaxed NaLi3O crystal, from Alexandria via LeMat-Bulk.

Calculated values
Distance to the lowest polymorph of the same formula ... 0.000 eV/atom
Density of states at the Fermi level ... 0.004 states/eV/atom
Raw formation energy ... -0.8094 eV/atom

abc: 4.172 4.172 4.172
angles: 90.00 90.00 90.00
Positions (direct):
Na 0.500 0.500 0.500
O 0.000 0.000 0.000
Li 0.000 0.500 0.000
Li 0.000 0.000 0.500
Li 0.500 0.000 0.000

The following is a PBE calculation of a relaxed Na3LiO2 crystal, from Alexandria via LeMat-Bulk.

Calculated values
Distance to the lowest polymorph of the same formula ... 0.025 eV/atom
Raw formation energy ... -1.2797 eV/atom

abc: 6.183 6.183 6.183
angles: 104.46 112.60 111.46
Positions (direct):
Na 0.042 0.750 0.792
Na 0.958 0.250 0.208
Na 0.500 0.306 0.306
Na 0.000 0.806 0.306
Na 0.000 0.194 0.694
Na 0.500 0.694 0.694
Li 0.574 0.250 0.824
Li 0.426 0.750 0.176
O 0.291 0.250 0.541
O 0.000 0.500 0.000
O 0.500 0.000 0.000
O 0.709 0.750 0.459

The following is a PBE calculation of a relaxed Na2Li4O crystal, from Alexandria via LeMat-Bulk.

Calculated values
Density of states at the Fermi level ... 0.329 states/eV/atom
Raw formation energy ... -0.6921 eV/atom

abc: 3.854 3.854 10.722
angles: 79.65 79.65 90.00
Positions (direct):
Na 0.687 0.687 0.627
Na 0.313 0.313 0.373
O 0.000 0.000 0.000
Li 0.908 0.908 0.184
Li 0.092 0.092 0.816
Li 0.000 0.500 0.000
Li 0.500 0.000 0.000

The following is a PBE calculation of a relaxed NaLiO3 crystal, from Alexandria via LeMat-Bulk.

Calculated values
Density of states at the Fermi level ... 0.748 states/eV/atom
Raw formation energy ... 0.1911 eV/atom

abc: 4.095 4.095 4.095
angles: 90.00 90.00 90.00
Each line ends with the local moment (μB).
Positions (direct):
Na 0.000 0.000 0.000  0.01
O 0.000 0.500 0.000  1.21
O 0.000 0.000 0.500  1.06
O 0.500 0.000 0.000  1.09
Li 0.500 0.500 0.500  -0.01

The following is a PBE calculation of a relaxed Na3LiO2 crystal, from Alexandria via LeMat-Bulk.

Calculated values
Distance to the lowest polymorph of the same formula ... 0.000 eV/atom
Density of states at the Fermi level ... 0.000 states/eV/atom
Raw formation energy ... -1.3049 eV/atom

abc: 5.629 5.036 6.606
angles: 112.41 115.22 90.00
Positions (direct):
Na 0.360 0.693 0.386
Na 0.640 0.307 0.614
Na 0.974 0.807 0.614
Na 0.026 0.193 0.386
Na 0.500 0.750 0.000
Na 0.500 0.250 0.000
Li 0.000 0.250 0.000
Li 0.000 0.750 0.000
O 0.314 0.105 0.210
O 0.686 0.895 0.790
O 0.104 0.395 0.790
O 0.896 0.605 0.210

The following is a PBE calculation of a relaxed Na4LiO2 crystal, from Alexandria via LeMat-Bulk.

Calculated values
Density of states at the Fermi level ... 0.172 states/eV/atom
Raw formation energy ... -0.9855 eV/atom

abc: 4.259 4.259 7.419
angles: 73.32 73.32 60.00
Positions (direct):
Na 0.400 0.400 0.799
Na 0.206 0.206 0.383
Na 0.794 0.794 0.617
Na 0.600 0.600 0.201
Li 0.000 0.000 0.000
O 0.093 0.093 0.722
O 0.907 0.907 0.278

The following is a PBE calculation of a relaxed Na4LiOs3O12 crystal, from Alexandria via LeMat-Bulk.

Calculated values
Density of states at the Fermi level ... 0.606 states/eV/atom
Raw formation energy ... -1.2731 eV/atom

abc: 6.727 6.727 6.727
angles: 109.47 109.47 109.47
Each line ends with the local moment (μB).
Positions (direct):
Na 0.500 0.500 0.500  0.00
Na 0.000 0.000 0.500  0.00
Na 0.500 0.000 0.000  0.00
Na 0.000 0.500 0.000  0.00
Li 0.000 0.000 0.000  0.00
Os 0.500 0.000 0.500  0.10
Os 0.500 0.500 0.000  0.10
Os 0.000 0.500 0.500  0.10
O 0.250 0.500 0.750  0.03
O 0.737 0.000 0.737  0.01
O 0.263 0.000 0.263  0.01
O 0.750 0.500 0.250  0.03
O 0.737 0.737 0.000  0.01
O 0.263 0.263 0.000  0.01
O 0.750 0.250 0.500  0.03
O 0.250 0.750 0.500  0.03
O 0.500 0.250 0.750  0.03
O 0.000 0.737 0.737  0.01
O 0.500 0.750 0.250  0.03
O 0.000 0.263 0.263  0.01

- raw formation energy of number 6 (Na3LiO2)?
  -1.2797 eV/atom